Compound: La3Sn5Se12
Source: Alexandria
Functional: PBE-GGA
Structure: relaxed

Unit cell a=14.7350 b=14.7350 c=14.7350 alpha=109.47 beta=109.47 gamma=109.47
Fractional coordinates of all 80 atoms:
La1 0.1250 0.2500 0.3750
La2 0.1250 0.3750 0.7500
La3 0.2500 0.3750 0.1250
La4 0.2500 0.8750 0.6250
La5 0.3750 0.1250 0.2500
La6 0.3750 0.7500 0.1250
La7 0.6250 0.2500 0.8750
La8 0.6250 0.8750 0.7500
La9 0.7500 0.1250 0.3750
La10 0.7500 0.6250 0.8750
La11 0.8750 0.6250 0.2500
La12 0.8750 0.7500 0.6250
Sn1 0.0000 0.0000 0.0000
Sn2 0.0000 0.0000 0.5000
Sn3 0.0000 0.5000 0.0000
Sn4 0.0000 0.5000 0.5000
Sn5 0.1250 0.7500 0.8750
Sn6 0.1250 0.8750 0.2500
Sn7 0.2500 0.1250 0.8750
Sn8 0.2500 0.6250 0.3750
Sn9 0.3750 0.2500 0.6250
Sn10 0.3750 0.6250 0.7500
Sn11 0.5000 0.0000 0.0000
Sn12 0.5000 0.0000 0.5000
Sn13 0.5000 0.5000 0.0000
Sn14 0.5000 0.5000 0.5000
Sn15 0.6250 0.3750 0.2500
Sn16 0.6250 0.7500 0.3750
Sn17 0.7500 0.3750 0.6250
Sn18 0.7500 0.8750 0.1250
Sn19 0.8750 0.1250 0.7500
Sn20 0.8750 0.2500 0.1250
Se1 0.0448 0.2208 0.1340
Se2 0.0448 0.3240 0.9109
Se3 0.0868 0.7208 0.6760
Se4 0.0868 0.8660 0.4109
Se5 0.0891 0.6340 0.4132
Se6 0.0891 0.9552 0.6760
Se7 0.1340 0.0448 0.2208
Se8 0.1340 0.5891 0.9132
Se9 0.1760 0.2208 0.5868
Se10 0.1760 0.4552 0.5891
Se11 0.2208 0.1340 0.0448
Se12 0.2208 0.5868 0.1760
Se13 0.2792 0.3240 0.9132
Se14 0.2792 0.4552 0.3660
Se15 0.3240 0.9109 0.0448
Se16 0.3240 0.9132 0.2792
Se17 0.3660 0.2792 0.4552
Se18 0.3660 0.5868 0.9109
Se19 0.4109 0.0868 0.8660
Se20 0.4109 0.8240 0.5448
Se21 0.4132 0.0891 0.6340
Se22 0.4132 0.8240 0.7792
Se23 0.4552 0.3660 0.2792
Se24 0.4552 0.5891 0.1760
Se25 0.5448 0.4109 0.8240
Se26 0.5448 0.6340 0.7208
Se27 0.5868 0.1760 0.2208
Se28 0.5868 0.9109 0.3660
Se29 0.5891 0.1760 0.4552
Se30 0.5891 0.9132 0.1340
Se31 0.6340 0.4132 0.0891
Se32 0.6340 0.7208 0.5448
Se33 0.6760 0.0868 0.7208
Se34 0.6760 0.0891 0.9552
Se35 0.7208 0.5448 0.6340
Se36 0.7208 0.6760 0.0868
Se37 0.7792 0.4132 0.8240
Se38 0.7792 0.8660 0.9552
Se39 0.8240 0.5448 0.4109
Se40 0.8240 0.7792 0.4132
Se41 0.8660 0.4109 0.0868
Se42 0.8660 0.9552 0.7792
Se43 0.9109 0.0448 0.3240
Se44 0.9109 0.3660 0.5868
Se45 0.9132 0.1340 0.5891
Se46 0.9132 0.2792 0.3240
Se47 0.9552 0.6760 0.0891
Se48 0.9552 0.7792 0.8660

Output
- calculated volume (Å³/atom) = 30.79
- raw formation energy (eV/atom) = -0.946


Compound: La7SnSe5
Source: Alexandria
Functional: PBE-GGA
Structure: relaxed

Unit cell a=7.3833 b=7.3833 c=25.5841 alpha=90.00 beta=90.00 gamma=145.45
Fractional coordinates of all 26 atoms:
La1 0.0311 0.9689 0.7500
La2 0.1364 0.8636 0.0360
La3 0.1364 0.8636 0.4640
La4 0.3178 0.6822 0.6771
La5 0.3178 0.6822 0.8229
La6 0.4058 0.5942 0.1116
La7 0.4058 0.5942 0.3884
La8 0.5942 0.4058 0.6116
La9 0.5942 0.4058 0.8884
La10 0.6822 0.3178 0.1771
La11 0.6822 0.3178 0.3229
La12 0.8636 0.1364 0.5360
La13 0.8636 0.1364 0.9640
La14 0.9689 0.0311 0.2500
Sn1 0.3020 0.6980 0.2500
Sn2 0.6980 0.3020 0.7500
Se1 0.0455 0.9545 0.1416
Se2 0.0455 0.9545 0.3584
Se3 0.2275 0.7725 0.5713
Se4 0.2275 0.7725 0.9287
Se5 0.5000 0.5000 0.0000
Se6 0.5000 0.5000 0.5000
Se7 0.7725 0.2275 0.0713
Se8 0.7725 0.2275 0.4287
Se9 0.9545 0.0455 0.6416
Se10 0.9545 0.0455 0.8584

Output
- calculated volume (Å³/atom) = 30.42
- raw formation energy (eV/atom) = -1.668


Compound: La2SnSe
Source: Alexandria
Functional: PBE-GGA
Structure: relaxed

Unit cell a=6.7684 b=6.7684 c=15.0304 alpha=90.00 beta=90.00 gamma=90.00
Fractional coordinates of all 16 atoms:
La1 0.2321 0.2500 0.1250
La2 0.2500 0.7321 0.3750
La3 0.2500 0.7679 0.8750
La4 0.2679 0.2500 0.6250
La5 0.7321 0.7500 0.6250
La6 0.7500 0.2321 0.8750
La7 0.7500 0.2679 0.3750
La8 0.7679 0.7500 0.1250
Sn1 0.0000 0.0000 0.5000
Sn2 0.0000 0.5000 0.7500
Sn3 0.5000 0.0000 0.2500
Sn4 0.5000 0.5000 0.0000
Se1 0.0000 0.0000 0.0000
Se2 0.0000 0.5000 0.2500
Se3 0.5000 0.0000 0.7500
Se4 0.5000 0.5000 0.5000

Output
- calculated volume (Å³/atom) = 43.04
- distance to the lowest polymorph of the same formula (eV per atom) = 0.506
- raw formation energy (eV/atom) = -0.876


Compound: La2SnSe
Source: Alexandria
Functional: PBE-GGA
Structure: relaxed

Unit cell a=6.3604 b=6.3608 c=12.7131 alpha=90.00 beta=90.00 gamma=90.00
Fractional coordinates of all 16 atoms:
La1 0.0000 0.2493 0.1196
La2 0.0000 0.2508 0.6304
La3 0.0000 0.7492 0.3696
La4 0.0000 0.7507 0.8804
La5 0.5000 0.2493 0.3804
La6 0.5000 0.2508 0.8696
La7 0.5000 0.7492 0.1304
La8 0.5000 0.7507 0.6196
Sn1 0.0000 0.2492 0.3750
Sn2 0.0000 0.7508 0.6250
Sn3 0.5000 0.2492 0.1250
Sn4 0.5000 0.7508 0.8750
Se1 0.0000 0.2508 0.8750
Se2 0.0000 0.7492 0.1250
Se3 0.5000 0.2508 0.6250
Se4 0.5000 0.7492 0.3750

Output
- calculated volume (Å³/atom) = 32.15
- distance to the lowest polymorph of the same formula (eV per atom) = 0.000
- raw formation energy (eV/atom) = -1.382


Compound: LaSn2Se4
Source: Alexandria
Functional: PBE-GGA
Structure: relaxed

Unit cell a=7.1698 b=7.1698 c=13.8107 alpha=90.00 beta=90.00 gamma=146.09
Fractional coordinates of all 14 atoms:
La1 0.1074 0.8926 0.7500
La2 0.8926 0.1074 0.2500
Sn1 0.3668 0.6332 0.5621
Sn2 0.3668 0.6332 0.9379
Sn3 0.6332 0.3668 0.0621
Sn4 0.6332 0.3668 0.4379
Se1 0.0000 0.0000 0.0000
Se2 0.0000 0.0000 0.5000
Se3 0.2797 0.7203 0.1262
Se4 0.2797 0.7203 0.3738
Se5 0.4525 0.5475 0.7500
Se6 0.5475 0.4525 0.2500
Se7 0.7203 0.2797 0.6262
Se8 0.7203 0.2797 0.8738

Output
- calculated volume (Å³/atom) = 28.29
- raw formation energy (eV/atom) = -0.934


Compound: La6SnTe3Se2
Source: Alexandria
Functional: PBE-GGA
Structure: relaxed

Unit cell a=7.7588 b=7.7588 c=7.9029 alpha=99.43 beta=99.43 gamma=119.93
Fractional coordinates of all 12 atoms:
La1 0.0817 0.4224 0.7669
La2 0.2356 0.2356 0.2302
La3 0.4224 0.0817 0.7669
La4 0.5776 0.9183 0.2331
La5 0.7644 0.7644 0.7698
La6 0.9183 0.5776 0.2331
Sn1 0.5000 0.5000 0.0000
Te1 0.0000 0.0000 0.5000
Te2 0.3366 0.6634 0.5000
Te3 0.6634 0.3366 0.5000
Se1 0.1673 0.8327 0.0000
Se2 0.8327 0.1673 0.0000

Output
- calculated volume (Å³/atom) = 32.47
- raw formation energy (eV/atom) = -1.611


Number 1: total energy -4.78 eV/atom, theoretical density 5.280 g cm⁻³, DOS(E_F) 27.112 states/eV/cell. Number 2: total energy -5.97 eV/atom, theoretical density 6.239 g cm⁻³, DOS(E_F) 20.643 states/eV/cell. Number 3: total energy -5.21 eV/atom, theoretical density 4.587 g cm⁻³, DOS(E_F) 0.330 states/eV/cell. Number 4: total energy -5.72 eV/atom, theoretical density 6.140 g cm⁻³, DOS(E_F) 5.295 states/eV/cell. Number 5: total energy -4.77 eV/atom, theoretical density 5.804 g cm⁻³, DOS(E_F) 9.021 states/eV/cell. Number 6: total energy -5.77 eV/atom, theoretical density 6.363 g cm⁻³, DOS(E_F) 7.134 states/eV/cell.